Record 1
The following is a PBE-GGA calculation of an optimized crystal structure of V3Fe2, from Alexandria.

```
V3Fe2
1.0
2.9016 0.0000 0.0000
0.0000 2.9016 0.0000
0.0000 0.0000 14.4194
V Fe
6 4
direct
0.0000 0.0000 0.0000 V
0.0000 0.0000 0.1971 V
0.0000 0.0000 0.3967 V
0.0000 0.0000 0.6033 V
0.0000 0.0000 0.8029 V
0.5000 0.5000 0.5000 V
0.5000 0.5000 0.0992 Fe
0.5000 0.5000 0.2945 Fe
0.5000 0.5000 0.7055 Fe
0.5000 0.5000 0.9008 Fe
```

***

Record 2
The following is a PBE-GGA calculation of an optimized crystal structure of MgCr2Pd, from Alexandria.

```
MgCr2Pd
1.0
-3.5863 3.5863 2.4232
3.5863 -3.5863 2.4232
3.5863 3.5863 -2.4232
Mg Cr Pd
2 4 2
direct
0.0000 0.0000 0.0000 Mg
0.7500 0.2500 0.5000 Mg
0.1522 0.6250 0.0272 Cr
0.3750 0.4022 0.5272 Cr
0.5978 0.1250 0.9728 Cr
0.8750 0.8478 0.4728 Cr
0.2500 0.7500 0.5000 Pd
0.5000 0.5000 0.0000 Pd
```

***

Record 3
The following is a PBE-GGA calculation of an optimized crystal structure of MgZr2Cd, from Alexandria.

```
MgZr2Cd
1.0
3.5474 0.0000 0.0000
0.0000 3.5474 0.0000
0.0000 0.0000 6.9438
Mg Zr Cd
1 2 1
direct
0.0000 0.0000 0.0000 Mg
0.5000 0.5000 0.2486 Zr
0.5000 0.5000 0.7514 Zr
0.0000 0.0000 0.5000 Cd
```

***

Summary of DFT total energy in eV per atom
-8.98, -5.70, -4.89
(order as listed above)
Summary of D(E_F) in states/eV per cell
11.73, 12.47, 1.62
(order as listed above)